The following is a GGA-PBE calculation of a geometry-optimized Y2ThCu9 structure, from the Alexandria database.

Cell lengths 5.2303, 5.2303, 16.6237 Å; angles 90.00, 90.00, 120.00 degrees
Last column: nearest neighbours and their distance in Å.
Fractional coordinates of all 24 atoms:
Y 0.3333 0.6667 0.5365  12 Cu 3.02-3.11, 3 Y 3.25
Y 0.6667 0.3333 0.0365  12 Cu 3.02-3.11, 3 Y 3.25
Y 0.6667 0.3333 0.4635  12 Cu 3.02-3.11, 3 Y 3.25
Y 0.3333 0.6667 0.9635  12 Cu 3.02-3.11, 3 Y 3.25
Th 0.3333 0.6667 0.7500  18 Cu 3.02-3.32
Th 0.6667 0.3333 0.2500  18 Cu 3.02-3.32
Cu 0.0000 0.0000 0.0000  6 Cu 2.59
Cu 0.0000 0.0000 0.5000  6 Cu 2.59
Cu 0.0000 0.0000 0.2500  6 Cu 2.54
Cu 0.0000 0.0000 0.7500  6 Cu 2.54
Cu 0.3333 0.6667 0.2500  6 Cu 2.54
Cu 0.6667 0.3333 0.7500  6 Cu 2.54
Cu 0.1667 0.3334 0.1268  7 Cu 2.54-2.62
Cu 0.6666 0.8333 0.1268  7 Cu 2.54-2.62
Cu 0.1667 0.8333 0.1268  7 Cu 2.54-2.62
Cu 0.8333 0.6666 0.6268  7 Cu 2.54-2.62
Cu 0.3334 0.1667 0.6268  7 Cu 2.54-2.62
Cu 0.8333 0.1667 0.6268  7 Cu 2.54-2.62
Cu 0.3334 0.1667 0.8732  7 Cu 2.54-2.62
Cu 0.8333 0.6666 0.8732  7 Cu 2.54-2.62
Cu 0.8333 0.1667 0.8732  7 Cu 2.54-2.62
Cu 0.6666 0.8333 0.3732  7 Cu 2.54-2.62
Cu 0.1667 0.3334 0.3732  7 Cu 2.54-2.62
Cu 0.1667 0.8333 0.3732  7 Cu 2.54-2.62

Computed properties:
Size of the total moment   0.0 μB per formula unit
Density of states at the Fermi level   0.73 states/eV/atom
Symmetry   No. 194
Formation energy   -0.17 eV per atom

The following is a GGA-PBE calculation of a geometry-optimized YThCu2 structure, from the Alexandria database.

Cell lengths 3.7760, 4.3587, 5.7877 Å; angles 90.00, 109.31, 90.00 degrees
Last column: nearest neighbours and their distance in Å.
Fractional coordinates of all 4 atoms:
Y 0.7269 0.0000 0.9912  7 Cu 2.99-3.13
Th 0.4380 0.5000 0.4161  7 Cu 2.99-3.11
Cu 0.1529 0.5000 0.8460  2 Cu 2.67
Cu 0.0131 0.0000 0.5646  2 Cu 2.67

Computed properties:
Size of the total moment   0.0 μB per formula unit
Density of states at the Fermi level   1.25 states/eV/atom
Symmetry   No. 6
Formation energy   -0.17 eV per atom

The following is a GGA-PBE calculation of a geometry-optimized YTh2Cu structure, from the Alexandria database.

Cell lengths 3.6316, 3.6316, 10.2528 Å; angles 79.80, 79.80, 60.00 degrees
Last column: nearest neighbours and their distance in Å.
Fractional coordinates of all 4 atoms:
Y 0.5000 0.5000 0.5000  6 Th 3.59, 6 Y 3.63
Cu 0.0000 0.0000 0.0000  6 Th 2.97
Th 0.2633 0.2633 0.2100  3 Cu 2.97
Th 0.7366 0.7366 0.7900  3 Cu 2.97

Computed properties:
Size of the total moment   0.0 μB per formula unit
Density of states at the Fermi level   1.23 states/eV/atom
Symmetry   No. 166
Formation energy   0.12 eV per atom

The following is a GGA-PBE calculation of a geometry-optimized YThCu2 structure, from the Alexandria database.

Cell lengths 5.0066, 5.0066, 5.0066 Å; angles 60.00, 60.00, 60.00 degrees
Last column: nearest neighbours and their distance in Å.
Fractional coordinates of all 4 atoms:
Y 0.5000 0.5000 0.5000  8 Cu 3.07
Cu 0.2500 0.2500 0.2500  4 Y 3.07, 4 Th 3.07
Cu 0.7500 0.7500 0.7500  4 Th 3.07, 4 Y 3.07
Th 0.0000 0.0000 0.0000  8 Cu 3.07

Computed properties:
Size of the total moment   0.0 μB per formula unit
Density of states at the Fermi level   1.17 states/eV/atom
Symmetry   No. 225
Formation energy   -0.12 eV per atom

The following is a GGA-PBE calculation of a geometry-optimized Y3ThCu2 structure, from the Alexandria database.

Cell lengths 3.5129, 3.5129, 12.0727 Å; angles 90.00, 90.00, 90.00 degrees
Last column: nearest neighbours and their distance in Å.
Fractional coordinates of all 6 atoms:
Y 0.0000 0.0000 0.0000  8 Cu 3.02
Y 0.0000 0.0000 0.7135  4 Cu 3.03
Y 0.0000 0.0000 0.2865  4 Cu 3.03
Th 0.5000 0.5000 0.5000  4 Th 3.51, 8 Y 3.58
Cu 0.5000 0.5000 0.8577  8 Y 3.02-3.03
Cu 0.5000 0.5000 0.1423  8 Y 3.02-3.03

Computed properties:
Size of the total moment   0.0 μB per formula unit
Density of states at the Fermi level   1.27 states/eV/atom
Symmetry   No. 123
Formation energy   -0.14 eV per atom

The following is a GGA-PBE calculation of a geometry-optimized Y2ThCu9 structure, from the Alexandria database.

Cell lengths 5.2341, 5.2341, 8.8053 Å; angles 72.71, 72.71, 60.00 degrees
Last column: nearest neighbours and their distance in Å.
Fractional coordinates of all 12 atoms:
Y 0.8558 0.8558 0.4326  12 Cu 3.04-3.07, 3 Y 3.22
Y 0.1442 0.1442 0.5674  12 Cu 3.04-3.07, 3 Y 3.22
Th 0.0000 0.0000 0.0000  18 Cu 3.02-3.32
Cu 0.6680 0.6680 0.9959  6 Cu 2.52-2.56
Cu 0.3320 0.3320 0.0041  6 Cu 2.52-2.56
Cu 0.5000 0.5000 0.5000  6 Cu 2.58
Cu 0.4191 0.4191 0.2463  7 Cu 2.52-2.64
Cu 0.9154 0.4191 0.2463  7 Cu 2.52-2.64
Cu 0.4191 0.9154 0.2463  7 Cu 2.52-2.64
Cu 0.5809 0.5809 0.7537  7 Cu 2.52-2.64
Cu 0.5809 0.0846 0.7537  7 Cu 2.52-2.64
Cu 0.0846 0.5809 0.7537  7 Cu 2.52-2.64

Computed properties:
Size of the total moment   0.0 μB per formula unit
Density of states at the Fermi level   0.67 states/eV/atom
Symmetry   No. 166
Formation energy   -0.17 eV per atom

The following is a GGA-PBE calculation of a geometry-optimized Y4ThCu5 structure, from the Alexandria database.

Cell lengths 3.4739, 3.4739, 17.7789 Å; angles 90.00, 90.00, 90.00 degrees
Last column: nearest neighbours and their distance in Å.
Fractional coordinates of all 10 atoms:
Y 0.0000 0.0000 0.2044  8 Cu 3.00-3.01
Y 0.0000 0.0000 0.4011  8 Cu 3.02
Y 0.0000 0.0000 0.5989  8 Cu 3.02
Y 0.0000 0.0000 0.7956  8 Cu 3.00-3.01
Th 0.0000 0.0000 0.0000  8 Cu 3.12, 4 Th 3.47
Cu 0.5000 0.5000 0.1079  4 Y 3.00, 4 Th 3.12
Cu 0.5000 0.5000 0.3021  8 Y 3.01-3.02
Cu 0.5000 0.5000 0.5000  8 Y 3.02
Cu 0.5000 0.5000 0.6979  8 Y 3.01-3.02
Cu 0.5000 0.5000 0.8921  4 Y 3.00, 4 Th 3.12

Computed properties:
Size of the total moment   0.0 μB per formula unit
Density of states at the Fermi level   0.63 states/eV/atom
Symmetry   No. 123
Formation energy   -0.20 eV per atom

The following is a GGA-PBE calculation of a geometry-optimized Y3ThCu4 structure, from the Alexandria database.

Cell lengths 4.9688, 7.0038, 9.9408 Å; angles 90.00, 90.00, 90.00 degrees
Last column: nearest neighbours and their distance in Å.
Fractional coordinates of all 16 atoms:
Y 0.0000 0.0000 0.0000  8 Cu 3.03
Y 0.0000 0.0000 0.5000  8 Cu 3.03
Y 0.4996 0.0000 0.7500  8 Cu 3.03
Y 0.5004 0.0000 0.2500  8 Cu 3.03
Y 0.4997 0.5000 0.7500  8 Cu 3.04-3.05
Y 0.5003 0.5000 0.2500  8 Cu 3.04-3.05
Cu 0.5000 0.7513 0.0000  6 Y 3.03-3.05, 2 Th 3.04
Cu 0.5000 0.7513 0.5000  6 Y 3.03-3.05, 2 Th 3.04
Cu 0.5000 0.2487 0.0000  6 Y 3.03-3.05, 2 Th 3.04
Cu 0.5000 0.2487 0.5000  6 Y 3.03-3.05, 2 Th 3.04
Cu 0.9994 0.7515 0.7500  6 Y 3.03-3.05, 2 Th 3.05
Cu 0.0006 0.7515 0.2500  6 Y 3.03-3.05, 2 Th 3.05
Cu 0.0006 0.2485 0.2500  6 Y 3.03-3.05, 2 Th 3.05
Cu 0.9994 0.2485 0.7500  6 Y 3.03-3.05, 2 Th 3.05
Th 0.0000 0.5000 0.0000  8 Cu 3.04-3.05
Th 0.0000 0.5000 0.5000  8 Cu 3.04-3.05

Computed properties:
Size of the total moment   0.0 μB per formula unit
Density of states at the Fermi level   0.88 states/eV/atom
Symmetry   No. 123
Formation energy   -0.18 eV per atom

The following is a GGA-PBE calculation of a geometry-optimized Th3Zn2Cu3 structure, from the Alexandria database.

Cell lengths 5.8505, 8.1212, 14.2147 Å; angles 90.00, 90.00, 90.00 degrees
Last column: nearest neighbours and their distance in Å.
Fractional coordinates of all 32 atoms:
Th 0.1401 0.4552 0.3905  5 Cu 3.01-3.20, 4 Zn 3.11-3.30
Th 0.6401 0.0448 0.6095  5 Cu 3.01-3.20, 4 Zn 3.11-3.30
Th 0.8599 0.5448 0.8905  5 Cu 3.01-3.20, 4 Zn 3.11-3.30
Th 0.3599 0.9552 0.1095  5 Cu 3.01-3.20, 4 Zn 3.11-3.30
Th 0.8599 0.5448 0.6095  5 Cu 3.01-3.20, 4 Zn 3.11-3.30
Th 0.3599 0.9552 0.3905  5 Cu 3.01-3.20, 4 Zn 3.11-3.30
Th 0.1401 0.4552 0.1095  5 Cu 3.01-3.20, 4 Zn 3.11-3.30
Th 0.6401 0.0448 0.8905  5 Cu 3.01-3.20, 4 Zn 3.11-3.30
Th 0.6254 0.3103 0.2500  5 Cu 3.02-3.22, 4 Zn 3.09-3.18
Th 0.1254 0.1897 0.7500  5 Cu 3.02-3.22, 4 Zn 3.09-3.18
Th 0.3746 0.6897 0.7500  5 Cu 3.02-3.22, 4 Zn 3.09-3.18
Th 0.8746 0.8103 0.2500  5 Cu 3.02-3.22, 4 Zn 3.09-3.18
Zn 0.8685 0.0994 0.4009  4 Cu 2.45-2.63
Zn 0.3685 0.4006 0.5991  4 Cu 2.45-2.63
Zn 0.1315 0.9006 0.9009  4 Cu 2.45-2.63
Zn 0.6315 0.5994 0.0991  4 Cu 2.45-2.63
Zn 0.1315 0.9006 0.5991  4 Cu 2.45-2.63
Zn 0.6315 0.5994 0.4009  4 Cu 2.45-2.63
Zn 0.8685 0.0994 0.0991  4 Cu 2.45-2.63
Zn 0.3685 0.4006 0.9009  4 Cu 2.45-2.63
Cu 0.1105 0.1690 0.2500  2 Zn 2.63
Cu 0.6105 0.3310 0.7500  2 Zn 2.63
Cu 0.8895 0.8310 0.7500  2 Zn 2.63
Cu 0.3895 0.6690 0.2500  2 Zn 2.63
Cu 0.6057 0.3091 0.4620  3 Zn 2.45-2.52
Cu 0.1057 0.1909 0.5380  3 Zn 2.45-2.52
Cu 0.3943 0.6909 0.9620  3 Zn 2.45-2.52
Cu 0.8943 0.8091 0.0380  3 Zn 2.45-2.52
Cu 0.3943 0.6909 0.5380  3 Zn 2.45-2.52
Cu 0.8943 0.8091 0.4620  3 Zn 2.45-2.52
Cu 0.6057 0.3091 0.0380  3 Zn 2.45-2.52
Cu 0.1057 0.1909 0.9620  3 Zn 2.45-2.52

Computed properties:
Size of the total moment   0.0 μB per formula unit
Density of states at the Fermi level   0.97 states/eV/atom
Symmetry   No. 62
Formation energy   -0.16 eV per atom

The following is a GGA-PBE calculation of a geometry-optimized Th4Zn3Cu structure, from the Alexandria database.

Cell lengths 3.6846, 4.4179, 11.9399 Å; angles 90.00, 90.00, 90.00 degrees
Last column: nearest neighbours and their distance in Å.
Fractional coordinates of all 8 atoms:
Zn 0.0000 0.5000 0.5622  2 Zn 2.67
Zn 0.0000 0.0000 0.4364  2 Zn 2.67
Zn 0.5000 0.0000 0.9396  2 Cu 2.65
Cu 0.5000 0.5000 0.0626  2 Zn 2.65
Th 0.5000 0.5000 0.3382  6 Zn 3.11-3.25, 1 Cu 3.29
Th 0.0000 0.5000 0.8474  5 Zn 3.08-3.41, 2 Cu 3.16
Th 0.0000 0.0000 0.1537  4 Cu 3.08, 3 Zn 3.15-3.38
Th 0.5000 0.0000 0.6599  7 Zn 3.10-3.34

Computed properties:
Size of the total moment   0.0 μB per formula unit
Density of states at the Fermi level   0.95 states/eV/atom
Symmetry   No. 25
Formation energy   -0.15 eV per atom